Entry 1:
Computed, not measured: Cs4Au3 after structural relaxation at the GGA-PBE level of DFT.

Lattice parameters (Å, degrees): 9.5310 9.5310 9.5310 109.47 109.47 109.47
Closest atoms and distances in Å follow each position.
Sites, in units of the cell vectors:
1 Au 0.3750 0.1250 0.7500  8 Cs 3.66-3.97
2 Cs 0.0000 0.0000 0.8589  6 Au 3.66-3.97
3 Au 0.8750 0.2500 0.6250  8 Cs 3.66-3.97
4 Au 0.2500 0.8750 0.1250  8 Cs 3.66-3.97
5 Cs 0.1411 0.6411 0.6411  6 Au 3.66-3.97
6 Au 0.6250 0.7500 0.8750  8 Cs 3.66-3.97
7 Cs 0.6411 0.1411 0.1411  6 Au 3.66-3.97
8 Cs 0.5000 0.3589 0.5000  6 Au 3.66-3.97
9 Au 0.1250 0.3750 0.2500  8 Cs 3.66-3.97
10 Cs 0.0000 0.0000 0.3589  6 Au 3.66-3.97
11 Au 0.7500 0.6250 0.3750  8 Cs 3.66-3.97
12 Cs 0.5000 0.8589 0.5000  6 Au 3.66-3.97
13 Cs 0.3589 0.5000 0.0000  6 Au 3.66-3.97
14 Cs 0.8589 0.5000 0.0000  6 Au 3.66-3.97

Calculated values
Formation energy (eV/atom): -0.292
Size of the total moment (μB/cell): 0.00
Space group: I-43d (220)

Entry 2:
Computed, not measured: Cs6Au after structural relaxation at the GGA-PBE level of DFT.

Lattice parameters (Å, degrees): 11.6860 11.6860 11.6860 109.47 109.47 109.47
Closest atoms and distances in Å follow each position.
Sites, in units of the cell vectors:
1 Cs 0.5000 0.2500 0.7500  4 Cs 4.77
2 Cs 0.2500 0.7500 0.5000  4 Cs 4.77
3 Au 0.0000 0.0000 0.0000  none within 6
4 Cs 0.7500 0.5000 0.2500  4 Cs 4.77
5 Cs 0.5000 0.7500 0.2500  4 Cs 4.77
6 Cs 0.2500 0.5000 0.7500  4 Cs 4.77
7 Cs 0.7500 0.2500 0.5000  4 Cs 4.77

Calculated values
Formation energy (eV/atom): 0.456
Size of the total moment (μB/cell): 0.00
ΔE to the lowest computed polymorph (meV per atom): 565
Space group: Im-3m (229)

Entry 3:
Computed, not measured: Cs2Au after structural relaxation at the GGA-PBE level of DFT.

Lattice parameters (Å, degrees): 5.2535 5.2454 9.1300 73.48 89.94 59.97
Closest atoms and distances in Å follow each position.
Sites, in units of the cell vectors:
1 Au 0.5053 0.0007 0.4944  6 Cs 3.62-3.63
2 Cs 0.2473 0.5157 0.7249  3 Au 3.62-3.63
3 Cs 0.7633 0.4857 0.2639  3 Au 3.62-3.63

Calculated values
Formation energy (eV/atom): -0.232
Size of the total moment (μB/cell): 0.00
Space group: C2/m (12)

Entry 4:
Computed, not measured: Cs8Au3 after structural relaxation at the GGA-PBE level of DFT.

Lattice parameters (Å, degrees): 9.1620 9.1620 9.1620 90.16 90.16 90.16
Closest atoms and distances in Å follow each position.
Sites, in units of the cell vectors:
1 Cs 0.6503 0.1725 0.8307  2 Au 3.65-3.68
2 Cs 0.6654 0.6654 0.6654  3 Au 3.75
3 Cs 0.3346 0.3346 0.3346  3 Au 3.75
4 Cs 0.1725 0.8307 0.6503  2 Au 3.65-3.68
5 Cs 0.3497 0.8275 0.1693  2 Au 3.65-3.68
6 Cs 0.1693 0.3497 0.8275  2 Au 3.65-3.68
7 Cs 0.8275 0.1693 0.3497  2 Au 3.65-3.68
8 Au 0.5000 0.5000 0.0000  6 Cs 3.65-3.75
9 Au 0.5000 0.0000 0.5000  6 Cs 3.65-3.75
10 Au 0.0000 0.5000 0.5000  6 Cs 3.65-3.75
11 Cs 0.8307 0.6503 0.1725  2 Au 3.65-3.68

Calculated values
Formation energy (eV/atom): -0.159
Size of the total moment (μB/cell): 1.57
Space group: R-3 (148)

Entry 5:
Computed, not measured: Cs2Au after structural relaxation at the GGA-PBE level of DFT.

Lattice parameters (Å, degrees): 5.2345 8.6818 8.8087 90.00 90.00 90.00
Closest atoms and distances in Å follow each position.
Sites, in units of the cell vectors:
1 Cs 0.0000 0.7231 0.3172  3 Au 3.63-3.69
2 Cs 0.5000 0.7769 0.8172  3 Au 3.63-3.69
3 Cs 0.0000 0.2769 0.6828  3 Au 3.63-3.69
4 Au 0.5000 0.5000 0.5000  6 Cs 3.63-3.69
5 Cs 0.5000 0.2231 0.1828  3 Au 3.63-3.69
6 Au 0.0000 0.0000 0.0000  6 Cs 3.63-3.69

Calculated values
Formation energy (eV/atom): -0.210
Size of the total moment (μB/cell): 1.06
Space group: Pnnm (58)

Entry 6:
Computed, not measured: CsAu6 after structural relaxation at the GGA-PBE level of DFT.

Lattice parameters (Å, degrees): 6.5905 6.5905 6.5905 109.47 109.47 109.47
Closest atoms and distances in Å follow each position.
Sites, in units of the cell vectors:
1 Au 0.5000 0.2500 0.7500  4 Au 2.69
2 Cs 0.0000 0.0000 0.0000  24 Au 4.25
3 Au 0.7500 0.2500 0.5000  4 Au 2.69
4 Au 0.7500 0.5000 0.2500  4 Au 2.69
5 Au 0.2500 0.7500 0.5000  4 Au 2.69
6 Au 0.5000 0.7500 0.2500  4 Au 2.69
7 Au 0.2500 0.5000 0.7500  4 Au 2.69

Calculated values
Formation energy (eV/atom): 0.128
Size of the total moment (μB/cell): 0.00
Space group: Im-3m (229)

Entry 7:
Computed, not measured: CsCuAu2 after structural relaxation at the GGA-PBE level of DFT.

Lattice parameters (Å, degrees): 4.6657 4.6657 6.9697 70.45 70.45 60.00
Closest atoms and distances in Å follow each position.
Sites, in units of the cell vectors:
1 Cs 0.5000 0.5000 0.5000  2 Au 3.42
2 Au 0.6775 0.6775 0.9674  3 Cu 2.70, 3 Au 2.73
3 Au 0.3225 0.3225 0.0326  3 Cu 2.70, 3 Au 2.73
4 Cu 0.0000 0.0000 0.0000  6 Au 2.70

Calculated values
Formation energy (eV/atom): -0.140
Size of the total moment (μB/cell): 0.00
ΔE to the lowest computed polymorph (meV per atom): 0
Space group: R-3m (166)

Entry 8:
Computed, not measured: CsCuAu after structural relaxation at the GGA-PBE level of DFT.

Lattice parameters (Å, degrees): 4.4069 7.0077 7.3326 109.59 72.51 71.67
Closest atoms and distances in Å follow each position.
Sites, in units of the cell vectors:
1 Cs 0.8127 0.5763 0.7983  5 Cu 3.56-3.97, 5 Au 3.59-3.81, 1 Cs 3.80
2 Au 0.1003 0.0024 0.7971  3 Cu 2.64-2.67, 1 Au 2.85
3 Au 0.8997 0.9976 0.2029  3 Cu 2.64-2.67, 1 Au 2.85
4 Cs 0.1873 0.4237 0.2017  5 Cu 3.56-3.97, 5 Au 3.59-3.81, 1 Cs 3.80
5 Cu 0.6991 0.0142 0.5875  2 Cu 2.48, 3 Au 2.64-2.67
6 Cu 0.3009 0.9858 0.4125  2 Cu 2.48, 3 Au 2.64-2.67

Calculated values
Formation energy (eV/atom): -0.030
Size of the total moment (μB/cell): 0.00
ΔE to the lowest computed polymorph (meV per atom): 0
Space group: C2/m (12)

Entry 9:
Computed, not measured: CsCuAu3 after structural relaxation at the GGA-PBE level of DFT.

Lattice parameters (Å, degrees): 5.0984 5.0984 5.0984 90.00 90.00 90.00
Closest atoms and distances in Å follow each position.
Sites, in units of the cell vectors:
1 Au 0.5000 0.0000 0.0000  2 Cu 2.55
2 Au 0.0000 0.0000 0.5000  2 Cu 2.55
3 Cu 0.0000 0.0000 0.0000  6 Au 2.55
4 Cs 0.5000 0.5000 0.5000  12 Au 3.61
5 Au 0.0000 0.5000 0.0000  2 Cu 2.55

Calculated values
Formation energy (eV/atom): 0.108
Size of the total moment (μB/cell): 0.00
ΔE to the lowest computed polymorph (meV per atom): 0
Space group: Pm-3m (221)

Entry 10:
Computed, not measured: CsCuAu3 after structural relaxation at the GGA-PBE level of DFT.

Lattice parameters (Å, degrees): 6.1213 6.1213 6.1213 90.00 90.00 90.00
Closest atoms and distances in Å follow each position.
Sites, in units of the cell vectors:
1 Cs 0.0000 0.0000 0.0000  6 Au 3.06
2 Au 0.0000 0.0000 0.5000  2 Cs 3.06
3 Cu 0.5000 0.5000 0.5000  12 Au 4.33
4 Au 0.5000 0.0000 0.0000  2 Cs 3.06
5 Au 0.0000 0.5000 0.0000  2 Cs 3.06

Calculated values
Formation energy (eV/atom): 1.581
Size of the total moment (μB/cell): 0.00
ΔE to the lowest computed polymorph (meV per atom): 1473
Space group: Pm-3m (221)

Entry 11:
Computed, not measured: CsCuAu after structural relaxation at the GGA-PBE level of DFT.

Lattice parameters (Å, degrees): 5.4464 4.4745 4.4745 120.00 90.00 90.00
Closest atoms and distances in Å follow each position.
Sites, in units of the cell vectors:
1 Cs 0.6667 0.6667 0.3333  6 Au 3.75, 6 Cu 3.75
2 Cu 0.1667 0.3333 0.6667  3 Au 2.58
3 Au 0.1666 0.0000 0.0000  3 Cu 2.58

Calculated values
Formation energy (eV/atom): 0.013
Size of the total moment (μB/cell): 0.00
ΔE to the lowest computed polymorph (meV per atom): 43
Space group: P-6m2 (187)

Entry 12:
Computed, not measured: CsCu2Au after structural relaxation at the GGA-PBE level of DFT.

Lattice parameters (Å, degrees): 5.0976 5.0976 5.0976 60.00 60.00 60.00
Closest atoms and distances in Å follow each position.
Sites, in units of the cell vectors:
1 Cu 0.2500 0.2500 0.2500  4 Au 3.12, 4 Cs 3.12
2 Cu 0.7500 0.7500 0.7500  4 Cs 3.12, 4 Au 3.12
3 Au 0.5000 0.5000 0.5000  8 Cu 3.12
4 Cs 0.0000 0.0000 0.0000  8 Cu 3.12

Calculated values
Formation energy (eV/atom): 0.762
Size of the total moment (μB/cell): 0.00
Space group: Fm-3m (225)

Entry 13:
Computed, not measured: Cs2CuAu2 after structural relaxation at the GGA-PBE level of DFT.

Lattice parameters (Å, degrees): 7.5238 7.5238 5.6474 90.00 90.00 90.00
Closest atoms and distances in Å follow each position.
Sites, in units of the cell vectors:
1 Cu 0.0000 0.0000 0.0000  4 Au 2.80
2 Cs 0.1668 0.6669 0.5000  2 Au 3.32, 1 Cs 3.55
3 Au 0.8312 0.6688 0.0000  2 Cu 2.80
4 Au 0.1688 0.3312 0.0000  2 Cu 2.80
5 Au 0.6688 0.1688 0.0000  2 Cu 2.80
6 Cs 0.8332 0.3332 0.5000  2 Au 3.32, 1 Cs 3.55
7 Cs 0.6669 0.8332 0.5000  2 Au 3.32, 1 Cs 3.55
8 Au 0.3312 0.8312 0.0000  2 Cu 2.80
9 Cu 0.5000 0.5000 0.0000  4 Au 2.80
10 Cs 0.3332 0.1668 0.5000  2 Au 3.32, 1 Cs 3.55

Calculated values
Formation energy (eV/atom): 0.062
Size of the total moment (μB/cell): 0.00
ΔE to the lowest computed polymorph (meV per atom): 122
Space group: P4/mbm (127)

Entry 14:
Computed, not measured: Cs2CuAu2 after structural relaxation at the GGA-PBE level of DFT.

Lattice parameters (Å, degrees): 6.9961 6.9961 6.3075 56.32 56.32 90.00
Closest atoms and distances in Å follow each position.
Sites, in units of the cell vectors:
1 Cu 0.0000 0.0000 0.0000  2 Au 2.54
2 Au 0.3241 0.3241 0.3518  1 Cu 2.54, 1 Au 2.75
3 Cs 0.2500 0.7500 0.5000  4 Au 3.55, 2 Cs 3.91
4 Au 0.6759 0.6759 0.6482  1 Cu 2.54, 1 Au 2.75
5 Cs 0.7500 0.2500 0.5000  4 Au 3.55, 2 Cs 3.91

Calculated values
Formation energy (eV/atom): -0.060
Size of the total moment (μB/cell): 0.00
ΔE to the lowest computed polymorph (meV per atom): 0
Space group: I4/mmm (139)

Entry 15:
Computed, not measured: CsCuAu2 after structural relaxation at the GGA-PBE level of DFT.

Lattice parameters (Å, degrees): 5.3459 5.3459 5.3459 60.00 60.00 60.00
Closest atoms and distances in Å follow each position.
Sites, in units of the cell vectors:
1 Au 0.7500 0.7500 0.7500  4 Cs 3.27, 4 Cu 3.27
2 Cu 0.0000 0.0000 0.0000  8 Au 3.27
3 Cs 0.5000 0.5000 0.5000  8 Au 3.27
4 Au 0.2500 0.2500 0.2500  4 Cu 3.27, 4 Cs 3.27

Calculated values
Formation energy (eV/atom): 0.610
Size of the total moment (μB/cell): 0.00
ΔE to the lowest computed polymorph (meV per atom): 750
Space group: Fm-3m (225)

Entry 16:
Computed, not measured: CsCuAu2F8 after structural relaxation at the GGA-PBE level of DFT.

Lattice parameters (Å, degrees): 5.6710 5.6710 9.6121 72.84 72.84 60.00
Closest atoms and distances in Å follow each position.
Sites, in units of the cell vectors:
1 F 0.6144 0.1475 0.6236  1 Cu 1.89
2 F 0.1475 0.6144 0.6236  1 Cu 1.89
3 Cu 0.5000 0.5000 0.5000  6 F 1.89
4 Au 0.2548 0.2548 0.2356  4 F 2.05-2.16
5 Au 0.7452 0.7452 0.7644  4 F 2.05-2.16
6 F 0.3856 0.3856 0.3764  1 Cu 1.89
7 F 0.6144 0.6144 0.6236  1 Cu 1.89
8 Cs 0.0000 0.0000 0.0000  6 F 3.28
9 F 0.6697 0.6697 0.9909  1 Au 2.05
10 F 0.3856 0.8525 0.3764  1 Cu 1.89
11 F 0.8525 0.3856 0.3764  1 Cu 1.89
12 F 0.3303 0.3303 0.0091  1 Au 2.05

Calculated values
Size of the total moment (μB/cell): 0.00
Space group: R-3m (166)
Energy relative to the elements, uncorrected (eV/atom): -1.201

Entry 17:
Computed, not measured: Cs2CuAuF6 after structural relaxation at the GGA-PBE level of DFT.

Lattice parameters (Å, degrees): 6.2096 6.2096 6.2096 60.00 60.00 60.00
Closest atoms and distances in Å follow each position.
Sites, in units of the cell vectors:
1 F 0.2666 0.2666 0.7334  1 Cu 2.05
2 F 0.2666 0.7334 0.2666  1 Cu 2.05
3 F 0.7334 0.7334 0.2666  1 Cu 2.05
4 Cs 0.7500 0.7500 0.7500  12 F 3.11
5 F 0.7334 0.2666 0.2666  1 Cu 2.05
6 F 0.2666 0.7334 0.7334  1 Cu 2.05
7 Cu 0.5000 0.5000 0.5000  6 F 2.05
8 F 0.7334 0.2666 0.7334  1 Cu 2.05
9 Au 0.0000 0.0000 0.0000  6 F 2.34
10 Cs 0.2500 0.2500 0.2500  12 F 3.11

Calculated values
Size of the total moment (μB/cell): 0.26
Space group: Fm-3m (225)
Energy relative to the elements, uncorrected (eV/atom): -1.852

Entry 18:
Computed, not measured: CsCuHg2Au after structural relaxation at the GGA-PBE level of DFT.

Lattice parameters (Å, degrees): 5.5317 5.5317 5.1978 90.00 90.00 90.00
Closest atoms and distances in Å follow each position.
Sites, in units of the cell vectors:
1 Cs 0.5000 0.5000 0.5000  8 Hg 3.80, 4 Cu 3.91
2 Cu 0.0000 0.0000 0.5000  2 Au 2.60
3 Hg 0.5000 0.0000 0.0000  2 Au 2.77
4 Hg 0.0000 0.5000 0.0000  2 Au 2.77
5 Au 0.0000 0.0000 0.0000  2 Cu 2.60, 4 Hg 2.77

Calculated values
Formation energy (eV/atom): 0.007
Size of the total moment (μB/cell): 0.00
ΔE to the lowest computed polymorph (meV per atom): 94
Space group: P4/mmm (123)

Entry 19:
Computed, not measured: CsCuHg2Au after structural relaxation at the GGA-PBE level of DFT.

Lattice parameters (Å, degrees): 5.3201 5.3201 5.2871 90.00 90.00 90.00
Closest atoms and distances in Å follow each position.
Sites, in units of the cell vectors:
1 Cs 0.5000 0.5000 0.5000  8 Hg 3.75, 4 Au 3.76
2 Hg 0.0000 0.5000 0.0000  2 Cu 2.66
3 Hg 0.5000 0.0000 0.0000  2 Cu 2.66
4 Au 0.0000 0.0000 0.5000  2 Cu 2.64
5 Cu 0.0000 0.0000 0.0000  2 Au 2.64, 4 Hg 2.66

Calculated values
Formation energy (eV/atom): -0.087
Size of the total moment (μB/cell): 0.00
ΔE to the lowest computed polymorph (meV per atom): 0
Space group: P4/mmm (123)

Entry 20:
Computed, not measured: CsCu2AuI6 after structural relaxation at the GGA-PBE level of DFT.

Lattice parameters (Å, degrees): 7.6336 11.0672 11.0672 104.84 86.07 86.07
Closest atoms and distances in Å follow each position.
Sites, in units of the cell vectors:
1 I 0.0176 0.2495 0.3990  2 Cu 2.56-2.58
2 I 0.2022 0.9588 0.8285  1 Cu 2.68
3 Cs 0.2500 0.8445 0.1555  6 I 3.92-4.16
4 Cs 0.7500 0.1555 0.8445  6 I 3.92-4.16
5 Cu 0.8060 0.6477 0.7487  4 I 2.56-2.68
6 I 0.7022 0.8285 0.9588  1 Cu 2.68
7 I 0.9824 0.7505 0.6010  2 Cu 2.56-2.58
8 I 0.2978 0.1715 0.0412  1 Cu 2.68
9 I 0.5176 0.3990 0.2495  2 Cu 2.56-2.58
10 Au 0.2500 0.3432 0.6568  2 I 2.61
11 I 0.7978 0.0412 0.1715  1 Cu 2.68
12 I 0.0194 0.5392 0.1908  1 Au 2.61, 1 Cu 2.64
13 I 0.4824 0.6010 0.7505  2 Cu 2.56-2.58
14 Au 0.7500 0.6568 0.3432  2 I 2.61
15 Cu 0.1940 0.3523 0.2513  4 I 2.56-2.68
16 I 0.5194 0.1908 0.5392  1 Au 2.61, 1 Cu 2.64
17 Cu 0.6940 0.2513 0.3523  4 I 2.56-2.68
18 I 0.9806 0.4608 0.8092  1 Au 2.61, 1 Cu 2.64
19 I 0.4806 0.8092 0.4608  1 Au 2.61, 1 Cu 2.64
20 Cu 0.3060 0.7487 0.6477  4 I 2.56-2.68

Calculated values
Size of the total moment (μB/cell): 0.00
Space group: C2/c (15)
Energy relative to the elements, uncorrected (eV/atom): -0.380